This record from OQMD describes a relaxed TbGdSn2Pd4 crystal. The functional is GGA-PBE.

The structure in POSCAR format:
```
TbGdSn2Pd4
1.0
4.599 0.000 0.000
-2.300 3.983 0.000
0.000 0.000 8.983
Gd Pd Sn Tb
1 4 2 1
Direct
0.000 0.000 0.000 Gd
0.333 0.667 0.166 Pd
0.333 0.667 0.834 Pd
0.000 0.000 0.335 Pd
0.000 0.000 0.665 Pd
0.667 0.333 0.251 Sn
0.667 0.333 0.749 Sn
0.333 0.667 0.500 Tb
```

Results
The value obtained for the spin magnetization is 0.0 μB/f.u. As for the raw total energy: -45.06 eV for the cell shown.



This record from OQMD describes a relaxed GdTm2Sn3Pd3 crystal. The functional is GGA-PBE.

The structure in POSCAR format:
```
GdTm2Sn3Pd3
1.0
3.867 0.000 0.000
0.000 6.621 3.802
0.000 -6.621 3.802
Tm Pd Sn Gd
2 3 3 1
Direct
0.000 0.402 0.000 Tm
0.000 0.000 0.402 Tm
0.500 0.329 0.668 Pd
0.500 0.668 0.329 Pd
0.000 0.003 0.003 Pd
0.500 0.263 0.263 Sn
0.500 0.001 0.737 Sn
0.500 0.737 0.001 Sn
0.000 0.597 0.597 Gd
```

Results
The value obtained for the spin magnetization is 0.0 μB/f.u. As for the raw total energy: -49.50 eV for the cell shown.